# 1
Crystalline Mn2NiO14 at its relaxed geometry, computed with PBE+U.

abc: 7.868 7.868 4.452
angles: 90.00 90.00 120.00
Positions (direct):
Mn 0.667 0.333 0.520
Mn 0.333 0.667 0.024
Ni 0.000 0.000 0.223
O 0.667 0.333 0.885
O 0.554 0.108 0.409
O 0.554 0.446 0.409
O 0.892 0.446 0.409
O 0.333 0.667 0.389
O 0.446 0.892 0.913
O 0.446 0.554 0.913
O 0.108 0.554 0.913
O 0.901 0.802 0.933
O 0.901 0.099 0.933
O 0.198 0.099 0.933
O 0.099 0.198 0.514
O 0.099 0.901 0.514
O 0.802 0.901 0.514

Energy above the lowest structure with this stoichiometry ... 12.0 meV per atom


# 2
Crystalline MnNiO4 at its relaxed geometry, computed with PBE+U.

abc: 3.782 3.782 5.296
angles: 110.92 110.92 90.00
Positions (direct):
Mn 0.750 0.250 0.500
Ni 0.000 0.000 0.000
O 0.959 0.459 0.917
O 0.541 0.041 0.083
O 0.790 0.790 0.581
O 0.210 0.210 0.419

Final energy ... -5.71 eV/atom


# 3
Crystalline Mn4NiO8 at its relaxed geometry, computed with PBE+U.

abc: 6.119 6.119 5.732
angles: 99.40 108.37 123.49
Positions (direct):
Mn 0.247 0.247 0.000
Mn 0.753 0.753 0.000
Mn 0.266 0.771 0.037
Mn 0.734 0.229 0.963
Ni 0.000 0.500 0.500
O 0.703 0.063 0.226
O 0.163 0.524 0.226
O 0.687 0.483 0.170
O 0.190 0.003 0.192
O 0.810 0.997 0.808
O 0.313 0.517 0.830
O 0.837 0.476 0.774
O 0.297 0.937 0.774

Energy above the lowest structure with this stoichiometry ... 0.0 meV per atom


# 4
Crystalline Mn3Ni2O8 at its relaxed geometry, computed with PBE+U.

abc: 4.977 5.622 5.622
angles: 62.00 83.06 83.06
Positions (direct):
Mn 0.000 0.000 0.000
Mn 0.500 0.744 0.256
Mn 0.500 0.256 0.744
Ni 0.934 0.710 0.710
Ni 0.066 0.290 0.290
O 0.645 0.102 0.102
O 0.355 0.898 0.898
O 0.382 0.394 0.394
O 0.618 0.606 0.606
O 0.856 0.110 0.654
O 0.856 0.654 0.110
O 0.144 0.346 0.890
O 0.144 0.890 0.346

Final energy ... -6.44 eV/atom


# 5
Crystalline Mn3NiO6 at its relaxed geometry, computed with PBE+U.

abc: 5.010 5.260 7.695
angles: 90.00 91.23 90.00
Positions (direct):
Mn 0.511 0.925 0.786
Mn 0.500 0.500 0.000
Mn 0.489 0.075 0.214
Mn 0.011 0.575 0.286
Mn 0.000 0.000 0.500
Mn 0.989 0.425 0.714
Ni 0.500 0.500 0.500
Ni 0.000 0.000 0.000
O 0.670 0.192 0.934
O 0.713 0.199 0.593
O 0.654 0.428 0.240
O 0.346 0.572 0.760
O 0.287 0.801 0.407
O 0.330 0.808 0.066
O 0.170 0.308 0.434
O 0.213 0.301 0.093
O 0.154 0.072 0.740
O 0.846 0.928 0.260
O 0.787 0.699 0.907
O 0.830 0.692 0.566

Final energy ... -6.81 eV/atom


# 6
Crystalline Mn3NiO10 at its relaxed geometry, computed with PBE+U.

abc: 8.438 8.438 8.438
angles: 53.90 53.90 53.90
Positions (direct):
Mn 0.858 0.717 0.424
Mn 0.424 0.858 0.717
Mn 0.717 0.424 0.858
Mn 0.142 0.283 0.576
Mn 0.576 0.142 0.283
Mn 0.283 0.576 0.142
Ni 0.091 0.091 0.091
Ni 0.909 0.909 0.909
O 0.140 0.570 0.424
O 0.424 0.140 0.570
O 0.570 0.424 0.140
O 0.860 0.430 0.576
O 0.576 0.860 0.430
O 0.430 0.576 0.860
O 0.999 0.292 0.852
O 0.852 0.999 0.292
O 0.292 0.852 0.999
O 0.001 0.708 0.148
O 0.148 0.001 0.708
O 0.708 0.148 0.001
O 0.711 0.711 0.711
O 0.289 0.289 0.289
O 0.977 0.293 0.188
O 0.188 0.977 0.293
O 0.293 0.188 0.977
O 0.023 0.707 0.812
O 0.812 0.023 0.707
O 0.707 0.812 0.023

Final energy ... -5.88 eV/atom


# 7
Crystalline Mn2NiOsO6 at its relaxed geometry, computed with PBE+U.

abc: 5.250 5.372 7.672
angles: 90.00 90.14 90.00
Positions (direct):
Mn 0.003 0.951 0.252
Mn 0.503 0.549 0.752
Mn 0.997 0.049 0.748
Mn 0.497 0.451 0.248
Ni 0.500 0.000 0.000
Ni 0.000 0.500 0.500
Os 0.500 0.000 0.500
Os 0.000 0.500 0.000
O 0.312 0.675 0.058
O 0.812 0.825 0.558
O 0.688 0.325 0.942
O 0.188 0.175 0.442
O 0.333 0.693 0.432
O 0.833 0.807 0.932
O 0.667 0.307 0.568
O 0.167 0.193 0.068
O 0.882 0.565 0.240
O 0.382 0.935 0.740
O 0.118 0.435 0.760
O 0.618 0.065 0.260

Final energy ... -7.10 eV/atom


# 8
Crystalline MnNiP2O8 at its relaxed geometry, computed with PBE+U.

abc: 8.558 8.558 8.558
angles: 60.30 60.30 60.30
Positions (direct):
Mn 0.002 0.002 0.002
Mn 0.858 0.858 0.858
Mn 0.501 0.501 0.501
Ni 0.357 0.357 0.357
Ni 0.142 0.142 0.142
Ni 0.643 0.643 0.643
P 0.463 0.748 0.046
P 0.748 0.046 0.463
P 0.046 0.463 0.748
P 0.951 0.542 0.248
P 0.248 0.951 0.542
P 0.542 0.248 0.951
O 0.660 0.904 0.510
O 0.904 0.510 0.660
O 0.510 0.660 0.904
O 0.270 0.914 0.042
O 0.622 0.812 0.006
O 0.437 0.598 0.250
O 0.914 0.042 0.270
O 0.598 0.250 0.437
O 0.982 0.385 0.192
O 0.250 0.437 0.598
O 0.949 0.739 0.077
O 0.192 0.982 0.385
O 0.812 0.006 0.622
O 0.042 0.270 0.914
O 0.746 0.578 0.399
O 0.006 0.622 0.812
O 0.399 0.746 0.578
O 0.077 0.949 0.739
O 0.578 0.399 0.746
O 0.385 0.192 0.982
O 0.739 0.077 0.949
O 0.507 0.318 0.102
O 0.102 0.507 0.318
O 0.318 0.102 0.507

Energy above the lowest structure with this stoichiometry ... 49.0 meV per atom


Number 1: total magnetization 0.588 μB/atom. Number 2: total magnetization 0.499 μB/atom. Number 3: total magnetization 1.231 μB/atom. Number 4: total magnetization 1.000 μB/atom. Number 5: total magnetization 1.300 μB/atom. Number 6: total magnetization 0.851 μB/atom. Number 7: total magnetization 1.000 μB/atom. Number 8: total magnetization 0.414 μB/atom.